## Al7Cr (PBE)

Data for Al7Cr after structural relaxation.

Cell lengths 5.634, 5.634, 5.634 Å; angles 60.00, 60.00, 60.00 degrees
Positions (direct):
1 Al 0.500 0.000 0.500
2 Al 0.000 0.500 0.500
3 Al 0.000 0.000 0.500
4 Al 0.000 0.500 0.000
5 Al 0.500 0.000 0.000
6 Al 0.500 0.500 0.000
7 Al 0.500 0.500 0.500
8 Cr 0.000 0.000 0.000

space-group type	Fm-3m, No. 225
E_tot	-4.51	eV/atom
magnetization	3.20	μB/f.u.
ΔE_f	-35	meV per atom

---

## ZnCo2Ir2 (PBE)

Data for ZnCo2Ir2 after structural relaxation.

Cell lengths 7.197, 7.197, 2.697 Å; angles 90.00, 90.00, 90.00 degrees
Positions (direct):
1 Zn 0.000 0.000 0.000
2 Zn 0.500 0.500 0.000
3 Ir 0.368 0.868 0.000
4 Ir 0.868 0.632 0.000
5 Ir 0.632 0.132 0.000
6 Ir 0.132 0.368 0.000
7 Co 0.166 0.666 0.500
8 Co 0.666 0.834 0.500
9 Co 0.834 0.334 0.500
10 Co 0.334 0.166 0.500

relative energy among the computed polymorphs	0.6	kJ/mol of atoms
space-group type	P4/mbm, No. 127
E_tot	-6.46	eV/atom
magnetization	3.45	μB/f.u.
ΔE_f	182	meV per atom

---

## RbTa2Si2 (PBE)

Data for RbTa2Si2 after structural relaxation.

Cell lengths 4.867, 4.867, 5.950 Å; angles 65.86, 65.86, 90.00 degrees
Positions (direct):
1 Si 0.750 0.250 0.500
2 Si 0.250 0.750 0.500
3 Rb 0.000 0.000 0.000
4 Ta 0.349 0.349 0.303
5 Ta 0.651 0.651 0.697

relative energy among the computed polymorphs	39.0	kJ/mol of atoms
space-group type	I4/mmm, No. 139
uncorrected formation energy	0.642	eV per atom
E_tot	-6.46	eV/atom
magnetization	0.00	μB/f.u.

---

## Ce6Bi5O (PBE)

Data for Ce6Bi5O after structural relaxation.

Cell lengths 7.700, 7.744, 7.638 Å; angles 59.54, 80.07, 70.11 degrees
Positions (direct):
1 Ce 0.788 0.067 0.285
2 Ce 0.212 0.649 0.285
3 Ce 0.255 0.224 0.000
4 Ce 0.745 0.776 0.000
5 Ce 0.788 0.351 0.715
6 Ce 0.212 0.933 0.715
7 Bi 0.500 0.188 0.624
8 Bi 0.000 0.338 0.324
9 Bi 0.500 0.500 0.000
10 Bi 0.000 0.662 0.676
11 Bi 0.500 0.812 0.376
12 O 0.000 0.000 0.000

space-group type	C2/m, No. 12
uncorrected formation energy	-0.952	eV per atom
E_tot	-5.95	eV/atom
magnetization	6.09	μB/f.u.

---

## Sm4ScCd (PBE)

Data for Sm4ScCd after structural relaxation.

Cell lengths 6.198, 8.921, 8.415 Å; angles 113.31, 100.06, 111.41 degrees
Positions (direct):
1 Sm 0.057 0.186 0.784
2 Sm 0.757 0.707 0.613
3 Sm 0.227 0.598 0.784
4 Sm 0.357 0.906 0.613
5 Sm 0.643 0.094 0.387
6 Sm 0.773 0.402 0.216
7 Sm 0.243 0.293 0.387
8 Sm 0.943 0.814 0.216
9 Sc 0.345 0.595 0.191
10 Sc 0.655 0.405 0.809
11 Cd 0.251 0.001 0.002
12 Cd 0.749 0.999 0.998

relative energy among the computed polymorphs	10.4	kJ/mol of atoms
space-group type	C2/c, No. 15
E_tot	-4.32	eV/atom
magnetization	0.00	μB/f.u.
ΔE_f	33	meV per atom

---

## Be2CdGa (PBE)

Data for Be2CdGa after structural relaxation.

Cell lengths 6.933, 6.933, 5.580 Å; angles 51.59, 51.59, 90.00 degrees
Positions (direct):
1 Be 0.598 0.125 0.250
2 Be 0.152 0.625 0.250
3 Be 0.375 0.402 0.750
4 Be 0.875 0.848 0.750
5 Ga 0.500 0.500 0.000
6 Ga 0.250 0.750 0.500
7 Cd 0.000 0.000 0.000
8 Cd 0.750 0.250 0.500

relative energy among the computed polymorphs	14.6	kJ/mol of atoms
space-group type	I-42d, No. 122
E_tot	-2.16	eV/atom
magnetization	0.00	μB/f.u.
ΔE_f	686	meV per atom

---

## BaNi2Mo (PBE)

Data for BaNi2Mo after structural relaxation.

Cell lengths 5.806, 5.806, 5.806 Å; angles 150.79, 129.46, 59.44 degrees
Positions (direct):
1 Ba 0.496 0.496 0.000
2 Ni 0.002 0.002 0.000
3 Ni 0.215 0.715 0.500
4 Mo 0.788 0.288 0.500

relative energy among the computed polymorphs	58.8	kJ/mol of atoms
space-group type	Imm2, No. 44
E_tot	-5.24	eV/atom
magnetization	0.00	μB/f.u.
ΔE_f	839	meV per atom

---

## MgNiGe2Te (PBE)

Data for MgNiGe2Te after structural relaxation.

Cell lengths 5.553, 4.571, 5.553 Å; angles 90.00, 90.00, 90.00 degrees
Positions (direct):
1 Ni 0.000 0.500 0.000
2 Ge 0.000 0.000 0.500
3 Ge 0.500 0.000 0.000
4 Te 0.000 0.000 0.000
5 Mg 0.500 0.500 0.500

space-group type	P4/mmm, No. 123
uncorrected formation energy	0.756	eV per atom
E_tot	-3.19	eV/atom
magnetization	0.00	μB/f.u.

---

## AuC2 (PBE)

Data for AuC2 after structural relaxation.

Cell lengths 2.576, 2.576, 8.598 Å; angles 90.00, 90.00, 120.00 degrees
Positions (direct):
1 C 0.667 0.333 0.500
2 C 0.333 0.667 0.500
3 Au 0.000 0.000 0.000

relative energy among the computed polymorphs	0.0	kJ/mol of atoms
space-group type	P6/mmm, No. 191
E_tot	-6.98	eV/atom
magnetization	0.00	μB/f.u.
ΔE_f	266	meV per atom

---

## Pr5Ho2Sn4 (PBE)

Data for Pr5Ho2Sn4 after structural relaxation.

Cell lengths 3.568, 7.598, 13.718 Å; angles 92.24, 97.47, 90.00 degrees
Positions (direct):
1 Pr 0.137 0.837 0.275
2 Pr 0.863 0.163 0.725
3 Pr 0.234 0.227 0.469
4 Pr 0.500 0.000 0.000
5 Pr 0.766 0.773 0.531
6 Ho 0.912 0.693 0.824
7 Ho 0.088 0.307 0.176
8 Sn 0.670 0.500 0.341
9 Sn 0.029 0.660 0.059
10 Sn 0.330 0.500 0.659
11 Sn 0.971 0.340 0.941

space-group type	C2/m, No. 12
E_tot	-4.72	eV/atom
magnetization	0.00	μB/f.u.
ΔE_f	-261	meV per atom

---

## Ac4GdHo (PBE)

Data for Ac4GdHo after structural relaxation.

Cell lengths 7.150, 7.150, 7.150 Å; angles 60.00, 60.00, 60.00 degrees
Positions (direct):
1 Ac 0.625 0.625 0.126
2 Ac 0.625 0.126 0.625
3 Ac 0.625 0.625 0.625
4 Ac 0.126 0.625 0.625
5 Gd 0.000 0.000 0.000
6 Ho 0.250 0.250 0.250

space-group type	F-43m, No. 216
E_tot	-5.48	eV/atom
magnetization	7.64	μB/f.u.
ΔE_f	367	meV per atom

---

## BeP2Pb (PBE)

Data for BeP2Pb after structural relaxation.

Cell lengths 3.822, 3.822, 6.793 Å; angles 84.98, 84.98, 53.59 degrees
Positions (direct):
1 Pb 0.473 0.473 0.473
2 P 0.079 0.079 0.884
3 P 0.188 0.188 0.181
4 Be 0.760 0.760 0.963

space-group type	Cm, No. 8
E_tot	-4.48	eV/atom
magnetization	0.00	μB/f.u.
ΔE_f	81	meV per atom

---

## TlRe2W (PBE)

Data for TlRe2W after structural relaxation.

Cell lengths 5.029, 5.029, 4.852 Å; angles 78.16, 78.16, 34.84 degrees
Positions (direct):
1 Re 0.003 0.003 0.997
2 Re 0.736 0.736 0.789
3 Tl 0.498 0.498 0.501
4 W 0.263 0.263 0.213

relative energy among the computed polymorphs	15.9	kJ/mol of atoms
space-group type	Cm, No. 8
E_tot	-9.32	eV/atom
magnetization	0.00	μB/f.u.
ΔE_f	730	meV per atom

---

## KCaRhCl6 (PBE)

Data for KCaRhCl6 after structural relaxation.

Cell lengths 6.732, 6.732, 13.544 Å; angles 90.00, 90.00, 120.00 degrees
Positions (direct):
1 K 0.000 0.000 0.000
2 K 0.000 0.000 0.500
3 Ca 0.333 0.667 0.250
4 Ca 0.667 0.333 0.750
5 Rh 0.667 0.333 0.250
6 Rh 0.333 0.667 0.750
7 Cl 0.655 0.613 0.147
8 Cl 0.958 0.345 0.147
9 Cl 0.345 0.958 0.647
10 Cl 0.042 0.655 0.853
11 Cl 0.387 0.345 0.353
12 Cl 0.958 0.613 0.353
13 Cl 0.613 0.958 0.853
14 Cl 0.655 0.042 0.353
15 Cl 0.042 0.387 0.647
16 Cl 0.387 0.042 0.147
17 Cl 0.613 0.655 0.647
18 Cl 0.345 0.387 0.853

space-group type	P-31c, No. 163
uncorrected formation energy	-1.507	eV per atom
E_tot	-3.90	eV/atom
magnetization	0.00	μB/f.u.

---

## CaHIrCl2 (PBE)

Data for CaHIrCl2 after structural relaxation.

Cell lengths 5.309, 3.833, 5.309 Å; angles 90.00, 90.00, 90.00 degrees
Positions (direct):
1 H 0.000 0.500 0.000
2 Ca 0.000 0.000 0.000
3 Ir 0.500 0.500 0.500
4 Cl 0.000 0.000 0.500
5 Cl 0.500 0.000 0.000

space-group type	P4/mmm, No. 123
E_tot	-3.35	eV/atom
magnetization	2.15	μB/f.u.

---

## ZnIn2Ir2 (PBE)

Data for ZnIn2Ir2 after structural relaxation.

Cell lengths 5.602, 5.602, 7.476 Å; angles 74.62, 74.62, 55.57 degrees
Positions (direct):
1 Zn 0.159 0.841 0.250
2 Zn 0.841 0.159 0.750
3 In 0.506 0.199 0.150
4 In 0.801 0.494 0.350
5 In 0.494 0.801 0.850
6 In 0.199 0.506 0.650
7 Ir 0.714 0.024 0.511
8 Ir 0.976 0.286 0.989
9 Ir 0.286 0.976 0.489
10 Ir 0.024 0.714 0.011

space-group type	C2/c, No. 15
E_tot	-4.99	eV/atom
magnetization	0.00	μB/f.u.
ΔE_f	-100	meV per atom

---

## BaReP2 (PBE)

Data for BaReP2 after structural relaxation.

Cell lengths 4.436, 3.897, 6.302 Å; angles 71.99, 90.00, 90.00 degrees
Positions (direct):
1 Ba 0.500 0.664 0.797
2 P 0.000 0.030 0.066
3 P 0.500 0.382 0.362
4 Re 0.000 0.425 0.275

space-group type	Amm2, No. 38
E_tot	-6.62	eV/atom
magnetization	0.00	μB/f.u.
ΔE_f	-325	meV per atom

---

## V2CuPd6 (PBE)

Data for V2CuPd6 after structural relaxation.

Cell lengths 3.958, 5.959, 6.259 Å; angles 83.97, 71.57, 70.60 degrees
Positions (direct):
1 V 0.336 0.500 0.828
2 V 0.664 0.500 0.172
3 Cu 0.000 0.500 0.500
4 Pd 0.988 0.189 0.835
5 Pd 0.323 0.189 0.165
6 Pd 0.677 0.811 0.835
7 Pd 0.342 0.816 0.500
8 Pd 0.658 0.184 0.500
9 Pd 0.012 0.811 0.165

relative energy among the computed polymorphs	0.0	kJ/mol of atoms
space-group type	Fmmm, No. 69
E_tot	-6.15	eV/atom
magnetization	3.15	μB/f.u.
ΔE_f	-211	meV per atom

---

## Ac3Pm2DySe6 (PBE)

Data for Ac3Pm2DySe6 after structural relaxation.

Cell lengths 7.378, 7.378, 7.625 Å; angles 99.29, 99.29, 120.17 degrees
Positions (direct):
1 Ac 0.170 0.830 0.500
2 Ac 0.830 0.170 0.500
3 Ac 0.500 0.500 0.500
4 Pm 0.333 0.667 0.000
5 Pm 0.667 0.333 0.000
6 Dy 0.000 0.000 0.000
7 Se 0.925 0.599 0.774
8 Se 0.751 0.751 0.230
9 Se 0.075 0.401 0.226
10 Se 0.599 0.925 0.774
11 Se 0.249 0.249 0.770
12 Se 0.401 0.075 0.226

space-group type	C2/m, No. 12
uncorrected formation energy	-1.830	eV per atom
E_tot	-5.77	eV/atom
magnetization	0.00	μB/f.u.

---

## Cs2MgIn3Pb4 (PBE)

Data for Cs2MgIn3Pb4 after structural relaxation.

Cell lengths 5.323, 5.323, 12.632 Å; angles 90.00, 90.00, 90.00 degrees
Positions (direct):
1 Cs 0.500 0.000 0.253
2 Cs 0.000 0.500 0.747
3 Mg 0.500 0.500 0.500
4 In 0.000 0.000 0.500
5 In 0.500 0.000 0.868
6 In 0.000 0.500 0.132
7 Pb 0.500 0.500 0.000
8 Pb 0.000 0.000 0.000
9 Pb 0.500 0.000 0.627
10 Pb 0.000 0.500 0.373

space-group type	P-4m2, No. 115
E_tot	-2.75	eV/atom
magnetization	0.00	μB/f.u.
ΔE_f	-118	meV per atom